RbBaSi2Pb, relaxed, DFT PBE; space group = P4/mmm (123); ΔE_f (raw) = 60.18 kJ per mole of atoms; total magnetization = 0.00 μB per formula unit
1.0
5.606 0.000 0.000
0.000 6.337 0.000
0.000 0.000 5.606
Pb Si Rb Ba
1 2 1 1
direct
0.000 0.000 0.000 Pb
0.500 0.000 0.000 Si
0.000 0.000 0.500 Si
0.500 0.500 0.500 Rb
0.000 0.500 0.000 Ba